A plane-wave DFT calculation with PBE was carried out for an optimized crystal structure of ZnCdInF6.

Structure (POSCAR):
```
ZnCdInF6
1.0
-3.8254 0.4475 -4.1472
0.8624 -4.9897 2.5281
-6.8338 2.1291 6.5333
F Cd In Zn
12 2 2 2
direct
0.9827 0.3374 0.1342
0.0173 0.3547 0.6342
0.3374 0.9827 0.6342
0.9827 0.6453 0.3658
0.0173 0.6626 0.8658
0.6626 0.0173 0.3658
0.6453 0.9827 0.8658
0.6453 0.6626 0.6342
0.3547 0.0173 0.1342
0.3547 0.3374 0.3658
0.6626 0.6453 0.1342
0.3374 0.3547 0.8658
0.0000 0.0000 0.0000
0.0000 0.0000 0.5000
0.3333 0.6667 0.2500
0.6667 0.3333 0.7500
0.6667 0.3333 0.2500
0.3333 0.6667 0.7500
```

Computed properties:
Formation energy (no corrections) (eV per atom): -2.178

A plane-wave DFT calculation with PBE was carried out for an optimized crystal structure of Ba2SmPaN4.

Structure (POSCAR):
```
Ba2SmPaN4
1.0
-1.4142 1.6382 -3.0268
-4.0427 -4.8418 -0.7318
-2.9441 4.6739 3.9053
N Ba Pa Sm
4 2 1 1
direct
0.5000 0.2152 0.1897
0.0000 0.7587 0.1894
0.0000 0.2413 0.8106
0.5000 0.7848 0.8103
0.0000 0.5000 0.5000
0.5000 0.0000 0.5000
0.0000 0.0000 0.0000
0.5000 0.5000 0.0000
```

Computed properties:
Formation energy (no corrections) (eV per atom): -1.132

A plane-wave DFT calculation with PBE was carried out for an optimized crystal structure of Ga5As3Se3.

Structure (POSCAR):
```
Ga5As3Se3
1.0
-0.5518 3.8173 1.0798
-3.3656 -1.7062 4.3118
9.5663 -0.6559 7.2074
As Ga Se
3 5 3
direct
0.5000 0.7561 0.5000
0.0000 0.2529 0.6715
0.0000 0.2529 0.3285
0.0000 0.0098 0.5000
0.5000 0.5063 0.6687
0.0000 0.0008 0.8410
0.0000 0.0008 0.1590
0.5000 0.5063 0.3313
0.5000 0.7333 0.8436
0.0000 0.2474 0.0000
0.5000 0.7333 0.1564
```

Computed properties:
Formation energy (no corrections) (eV per atom): -0.454

A plane-wave DFT calculation with PBE was carried out for an optimized crystal structure of CaAlFe3.

Structure (POSCAR):
```
CaAlFe3
1.0
4.5081 0.0000 0.0000
0.0000 4.5081 0.0000
0.0000 0.0000 4.5081
Fe Al Ca
3 1 1
direct
0.0000 0.0000 0.5000
0.0000 0.5000 0.0000
0.5000 0.0000 0.0000
0.5000 0.5000 0.5000
0.0000 0.0000 0.0000
```

A plane-wave DFT calculation with PBE was carried out for an optimized crystal structure of CdGa3O.

Structure (POSCAR):
```
CdGa3O
1.0
5.0781 0.0000 0.0000
0.0000 5.0781 0.0000
0.0000 0.0000 5.0781
Ga Cd O
3 1 1
direct
0.5000 0.0000 0.0000
0.0000 0.0000 0.5000
0.0000 0.5000 0.0000
0.0000 0.0000 0.0000
0.5000 0.5000 0.5000
```

Computed properties:
Formation energy (no corrections) (eV per atom): 0.708

A plane-wave DFT calculation with PBE was carried out for an optimized crystal structure of YTa2As.

Structure (POSCAR):
```
YTa2As
1.0
-1.9879 1.6519 2.7703
2.2265 -2.2313 2.9282
3.2897 3.5794 0.2262
As Ta Y
1 2 1
direct
0.0000 0.5000 0.5000
0.5000 0.5000 0.0000
0.0000 0.0000 0.0000
0.5000 0.0000 0.5000
```

| no. | raw total energy (eV/cell) |
| --- | --- |
| 1 | -71.52 |
| 2 | -60.42 |
| 3 | -44.54 |
| 4 | -21.95 |
| 5 | -11.41 |
| 6 | -34.84 |